1.
{
  "formula": "SrAl2H6C2O11",
  "functional": "SCAN",
  "state": "PBEsol geometry",
  "space_group": "Pnma",
  "density_g_cm3": 2.86,
  "energy_ev_per_atom": -8.674,
  "magmom_total_mub_per_atom": 0.00,
  "cell": [[16.148, 0.000, 0.000], [0.000, 5.604, 0.000], [0.000, 0.000, 8.906]],
  "species": ["Sr", "Sr", "Sr", "Sr", "Al", "Al", "Al", "Al", "Al", "Al", "Al", "Al", "H", "H", "H", "H", "H", "H", "H", "H", "H", "H", "H", "H", "H", "H", "H", "H", "H", "H", "H", "H", "H", "H", "H", "H", "C", "C", "C", "C", "C", "C", "C", "C", "O", "O", "O", "O", "O", "O", "O", "O", "O", "O", "O", "O", "O", "O", "O", "O", "O", "O", "O", "O", "O", "O", "O", "O", "O", "O", "O", "O", "O", "O", "O", "O", "O", "O", "O", "O", "O", "O", "O", "O", "O", "O", "O", "O"],
  "frac_coords": [[0.085, 0.250, 0.024], [0.415, 0.750, 0.524], [0.585, 0.250, 0.476], [0.915, 0.750, 0.976], [0.204, 0.502, 0.330], [0.204, 0.998, 0.330], [0.296, 0.002, 0.830], [0.296, 0.498, 0.830], [0.704, 0.502, 0.170], [0.704, 0.998, 0.170], [0.796, 0.002, 0.670], [0.796, 0.498, 0.670], [0.031, 0.609, 0.664], [0.031, 0.891, 0.664], [0.107, 0.250, 0.477], [0.132, 0.750, 0.525], [0.221, 0.250, 0.627], [0.245, 0.750, 0.609], [0.255, 0.250, 0.109], [0.279, 0.750, 0.127], [0.368, 0.250, 0.025], [0.393, 0.750, 0.977], [0.469, 0.109, 0.164], [0.469, 0.391, 0.164], [0.531, 0.609, 0.836], [0.531, 0.891, 0.836], [0.607, 0.250, 0.023], [0.632, 0.750, 0.975], [0.721, 0.250, 0.873], [0.745, 0.750, 0.891], [0.755, 0.250, 0.391], [0.779, 0.750, 0.373], [0.868, 0.250, 0.475], [0.893, 0.750, 0.523], [0.969, 0.109, 0.336], [0.969, 0.391, 0.336], [0.051, 0.750, 0.256], [0.146, 0.750, 0.920], [0.354, 0.250, 0.420], [0.449, 0.250, 0.756], [0.551, 0.750, 0.244], [0.646, 0.750, 0.580], [0.854, 0.250, 0.080], [0.949, 0.250, 0.744], [0.027, 0.250, 0.760], [0.044, 0.750, 0.602], [0.069, 0.750, 0.955], [0.091, 0.547, 0.264], [0.091, 0.953, 0.264], [0.167, 0.250, 0.460], [0.185, 0.549, 0.904], [0.185, 0.951, 0.904], [0.188, 0.750, 0.472], [0.213, 0.250, 0.195], [0.240, 0.750, 0.213], [0.260, 0.250, 0.713], [0.287, 0.750, 0.695], [0.312, 0.250, 0.972], [0.315, 0.049, 0.404], [0.315, 0.451, 0.404], [0.333, 0.750, 0.960], [0.409, 0.047, 0.764], [0.409, 0.453, 0.764], [0.431, 0.250, 0.455], [0.456, 0.250, 0.102], [0.473, 0.750, 0.260], [0.527, 0.250, 0.740], [0.544, 0.750, 0.898], [0.569, 0.750, 0.545], [0.591, 0.547, 0.236], [0.591, 0.953, 0.236], [0.667, 0.250, 0.040], [0.685, 0.549, 0.596], [0.685, 0.951, 0.596], [0.688, 0.750, 0.028], [0.713, 0.250, 0.305], [0.740, 0.750, 0.287], [0.760, 0.250, 0.787], [0.787, 0.750, 0.805], [0.812, 0.250, 0.528], [0.815, 0.049, 0.096], [0.815, 0.451, 0.096], [0.833, 0.750, 0.540], [0.909, 0.047, 0.736], [0.909, 0.453, 0.736], [0.931, 0.250, 0.045], [0.956, 0.250, 0.398], [0.973, 0.750, 0.240]]
}

2.
{
  "formula": "Hf2Al3C4",
  "functional": "SCAN",
  "state": "PBEsol geometry",
  "space_group": "P6_3/mmc",
  "density_g_cm3": 7.73,
  "magmom_total_mub_per_atom": 0.00,
  "delta_e_f_mev_per_atom": -619,
  "cell": [[3.314, 0.000, 0.000], [-1.657, 2.870, 0.000], [0.000, 0.000, 21.964]],
  "species": ["Hf", "Hf", "Hf", "Hf", "Al", "Al", "Al", "Al", "Al", "Al", "C", "C", "C", "C", "C", "C", "C", "C"],
  "frac_coords": [[0.333, 0.667, 0.058], [0.333, 0.667, 0.442], [0.667, 0.333, 0.558], [0.667, 0.333, 0.942], [0.000, 0.000, 0.158], [0.000, 0.000, 0.342], [0.000, 0.000, 0.658], [0.000, 0.000, 0.842], [0.333, 0.667, 0.750], [0.667, 0.333, 0.250], [0.000, 0.000, 0.000], [0.000, 0.000, 0.250], [0.000, 0.000, 0.500], [0.000, 0.000, 0.750], [0.333, 0.667, 0.626], [0.333, 0.667, 0.874], [0.667, 0.333, 0.126], [0.667, 0.333, 0.374]]
}

3.
{
  "formula": "Al2HgIrC",
  "functional": "SCAN",
  "state": "PBEsol geometry",
  "space_group": "P4/mmm",
  "density_g_cm3": 10.98,
  "magmom_total_mub_per_atom": 0.00,
  "delta_e_f_mev_per_atom": 310,
  "cell": [[4.013, 0.000, 0.000], [0.000, 4.013, 0.000], [0.000, 0.000, 4.309]],
  "species": ["Al", "Al", "Hg", "Ir", "C"],
  "frac_coords": [[0.000, 0.500, 0.000], [0.500, 0.000, 0.000], [0.000, 0.000, 0.500], [0.500, 0.500, 0.500], [0.500, 0.500, 0.000]]
}

4.
{
  "formula": "AlHgPd2C",
  "functional": "SCAN",
  "state": "PBEsol geometry",
  "space_group": "P4/mmm",
  "density_g_cm3": 10.57,
  "magmom_total_mub_per_atom": 0.00,
  "delta_e_f_mev_per_atom": 79,
  "cell": [[4.311, 0.000, 0.000], [0.000, 4.311, 0.000], [0.000, 0.000, 3.825]],
  "species": ["Al", "Hg", "Pd", "Pd", "C"],
  "frac_coords": [[0.000, 0.000, 0.000], [0.500, 0.500, 0.000], [0.000, 0.500, 0.500], [0.500, 0.000, 0.500], [0.000, 0.000, 0.500]]
}

5.
{
  "formula": "Ho3AlC",
  "functional": "SCAN",
  "state": "PBEsol geometry",
  "space_group": "Pm-3m",
  "density_g_cm3": 8.03,
  "magmom_total_mub_per_atom": 0.00,
  "delta_e_f_mev_per_atom": -501,
  "cell": [[4.798, 0.000, 0.000], [0.000, 4.798, 0.000], [0.000, 0.000, 4.798]],
  "species": ["Ho", "Ho", "Ho", "Al", "C"],
  "frac_coords": [[0.000, 0.000, 0.500], [0.000, 0.500, 0.000], [0.500, 0.000, 0.000], [0.500, 0.500, 0.500], [0.000, 0.000, 0.000]]
}

6.
{
  "formula": "HoAl3C3",
  "functional": "SCAN",
  "state": "PBEsol geometry",
  "space_group": "P6_3/mmc",
  "density_g_cm3": 5.43,
  "magmom_total_mub_per_atom": 0.00,
  "delta_e_f_mev_per_atom": -454,
  "cell": [[3.408, 0.000, 0.000], [-1.704, 2.951, 0.000], [0.000, 0.000, 17.139]],
  "species": ["Ho", "Ho", "Al", "Al", "Al", "Al", "Al", "Al", "C", "C", "C", "C", "C", "C"],
  "frac_coords": [[0.000, 0.000, 0.000], [0.000, 0.000, 0.500], [0.333, 0.667, 0.133], [0.333, 0.667, 0.367], [0.333, 0.667, 0.750], [0.667, 0.333, 0.250], [0.667, 0.333, 0.633], [0.667, 0.333, 0.867], [0.333, 0.667, 0.250], [0.333, 0.667, 0.592], [0.333, 0.667, 0.908], [0.667, 0.333, 0.092], [0.667, 0.333, 0.408], [0.667, 0.333, 0.750]]
}

7.
{
  "formula": "Al2C2I",
  "functional": "SCAN",
  "state": "PBEsol geometry",
  "space_group": "I4/mmm",
  "density_g_cm3": 4.80,
  "magmom_total_mub_per_atom": 0.00,
  "formation_energy_uncorrected_ev_per_fu": 4.84,
  "cell": [[-2.170, 2.170, 3.762], [2.170, -2.170, 3.762], [2.170, 2.170, -3.762]],
  "species": ["Al", "Al", "C", "C", "I"],
  "frac_coords": [[0.250, 0.750, 0.500], [0.750, 0.250, 0.500], [0.090, 0.090, 0.000], [0.910, 0.910, 0.000], [0.500, 0.500, 0.000]]
}

8.
{
  "formula": "AlCI2O",
  "functional": "SCAN",
  "state": "PBEsol geometry",
  "space_group": "P4/mmm",
  "density_g_cm3": 4.81,
  "magmom_total_mub_per_atom": 0.28,
  "formation_energy_uncorrected_ev_per_fu": 2.40,
  "cell": [[5.614, 0.000, 0.000], [0.000, 5.614, 0.000], [0.000, 0.000, 3.385]],
  "species": ["Al", "C", "I", "I", "O"],
  "frac_coords": [[0.000, 0.000, 0.000], [0.500, 0.500, 0.500], [0.000, 0.500, 0.000], [0.500, 0.000, 0.000], [0.000, 0.000, 0.500]]
}

9.
{
  "formula": "LaAl2IrC",
  "functional": "SCAN",
  "state": "PBEsol geometry",
  "space_group": "P4/mmm",
  "density_g_cm3": 6.91,
  "magmom_total_mub_per_atom": 0.00,
  "delta_e_f_mev_per_atom": 176,
  "cell": [[4.956, 0.000, 0.000], [0.000, 4.956, 0.000], [0.000, 0.000, 3.882]],
  "species": ["La", "Al", "Al", "Ir", "C"],
  "frac_coords": [[0.000, 0.000, 0.000], [0.000, 0.500, 0.500], [0.500, 0.000, 0.500], [0.500, 0.500, 0.500], [0.500, 0.500, 0.000]]
}

10.
{
  "formula": "KAlC2N",
  "functional": "SCAN",
  "state": "PBEsol geometry",
  "space_group": "P4/mmm",
  "density_g_cm3": 1.80,
  "magmom_total_mub_per_atom": 1.12,
  "formation_energy_uncorrected_ev_per_fu": 18.80,
  "cell": [[4.594, 0.000, 0.000], [0.000, 4.594, 0.000], [0.000, 0.000, 4.544]],
  "species": ["K", "Al", "C", "C", "N"],
  "frac_coords": [[0.000, 0.000, 0.000], [0.500, 0.500, 0.500], [0.000, 0.500, 0.000], [0.500, 0.000, 0.000], [0.000, 0.000, 0.500]]
}

11.
{
  "formula": "K2AlPCO7",
  "functional": "SCAN",
  "state": "PBEsol geometry",
  "space_group": "P2_1/m",
  "density_g_cm3": 2.56,
  "magmom_total_mub_per_atom": 0.01,
  "formation_energy_uncorrected_ev_per_fu": -28.98,
  "cell": [[5.408, 0.000, 0.000], [0.000, 6.537, 0.000], [-0.175, 0.000, 9.544]],
  "species": ["K", "K", "K", "K", "Al", "Al", "P", "P", "C", "C", "O", "O", "O", "O", "O", "O", "O", "O", "O", "O", "O", "O", "O", "O"],
  "frac_coords": [[0.248, 0.028, 0.260], [0.248, 0.472, 0.260], [0.752, 0.528, 0.740], [0.752, 0.972, 0.740], [0.228, 0.250, 0.859], [0.772, 0.750, 0.141], [0.268, 0.750, 0.938], [0.732, 0.250, 0.062], [0.265, 0.250, 0.611], [0.735, 0.750, 0.389], [0.053, 0.250, 0.676], [0.080, 0.750, 0.059], [0.230, 0.555, 0.848], [0.230, 0.945, 0.848], [0.290, 0.250, 0.482], [0.449, 0.250, 0.704], [0.461, 0.250, 0.003], [0.539, 0.750, 0.997], [0.551, 0.750, 0.296], [0.710, 0.750, 0.518], [0.770, 0.055, 0.152], [0.770, 0.445, 0.152], [0.920, 0.250, 0.941], [0.947, 0.750, 0.324]]
}

12.
{
  "formula": "La2MnAlC",
  "functional": "SCAN",
  "state": "PBEsol geometry",
  "space_group": "P4/mmm",
  "density_g_cm3": 5.73,
  "magmom_total_mub_per_atom": 0.26,
  "delta_e_f_mev_per_atom": 796,
  "cell": [[4.895, 0.000, 0.000], [0.000, 4.895, 0.000], [0.000, 0.000, 4.499]],
  "species": ["La", "La", "Mn", "Al", "C"],
  "frac_coords": [[0.000, 0.500, 0.000], [0.500, 0.000, 0.000], [0.000, 0.000, 0.000], [0.000, 0.000, 0.500], [0.500, 0.500, 0.500]]
}

13.
{
  "formula": "LaAlTlC2",
  "functional": "SCAN",
  "state": "PBEsol geometry",
  "space_group": "P4/mmm",
  "density_g_cm3": 5.42,
  "magmom_total_mub_per_atom": 0.13,
  "delta_e_f_mev_per_atom": 2058,
  "cell": [[4.419, 0.000, 0.000], [0.000, 4.419, 0.000], [0.000, 0.000, 6.189]],
  "species": ["La", "Al", "Tl", "C", "C"],
  "frac_coords": [[0.000, 0.000, 0.000], [0.500, 0.500, 0.500], [0.000, 0.000, 0.500], [0.000, 0.500, 0.000], [0.500, 0.000, 0.000]]
}

14.
{
  "formula": "Li3AlC",
  "functional": "SCAN",
  "state": "PBEsol geometry",
  "space_group": "Pm-3m",
  "density_g_cm3": 1.50,
  "magmom_total_mub_per_atom": 0.00,
  "delta_e_f_mev_per_atom": 513,
  "cell": [[4.042, 0.000, 0.000], [0.000, 4.042, 0.000], [0.000, 0.000, 4.042]],
  "species": ["Li", "Li", "Li", "Al", "C"],
  "frac_coords": [[0.000, 0.000, 0.500], [0.000, 0.500, 0.000], [0.500, 0.000, 0.000], [0.500, 0.500, 0.500], [0.000, 0.000, 0.000]]
}

15.
{
  "formula": "Li2AlNiC",
  "functional": "SCAN",
  "state": "PBEsol geometry",
  "space_group": "P4/mmm",
  "density_g_cm3": 3.15,
  "magmom_total_mub_per_atom": 0.00,
  "delta_e_f_mev_per_atom": 135,
  "cell": [[4.068, 0.000, 0.000], [0.000, 4.068, 0.000], [0.000, 0.000, 3.556]],
  "species": ["Li", "Li", "Al", "Ni", "C"],
  "frac_coords": [[0.000, 0.500, 0.000], [0.500, 0.000, 0.000], [0.000, 0.000, 0.500], [0.500, 0.500, 0.500], [0.500, 0.500, 0.000]]
}

16.
{
  "formula": "Lu3AlC",
  "functional": "SCAN",
  "state": "PBEsol geometry",
  "space_group": "Pm-3m",
  "density_g_cm3": 9.07,
  "magmom_total_mub_per_atom": 0.00,
  "delta_e_f_mev_per_atom": -571,
  "cell": [[4.692, 0.000, 0.000], [0.000, 4.692, 0.000], [0.000, 0.000, 4.692]],
  "species": ["Lu", "Lu", "Lu", "Al", "C"],
  "frac_coords": [[0.000, 0.000, 0.500], [0.000, 0.500, 0.000], [0.500, 0.000, 0.000], [0.500, 0.500, 0.500], [0.000, 0.000, 0.000]]
}

17.
{
  "formula": "LuAl3C3",
  "functional": "SCAN",
  "state": "PBEsol geometry",
  "space_group": "P6_3/mmc",
  "density_g_cm3": 5.76,
  "magmom_total_mub_per_atom": 0.00,
  "delta_e_f_mev_per_atom": -495,
  "cell": [[3.383, 0.000, 0.000], [-1.692, 2.930, 0.000], [0.000, 0.000, 16.989]],
  "species": ["Lu", "Lu", "Al", "Al", "Al", "Al", "Al", "Al", "C", "C", "C", "C", "C", "C"],
  "frac_coords": [[0.000, 0.000, 0.000], [0.000, 0.000, 0.500], [0.333, 0.667, 0.132], [0.333, 0.667, 0.368], [0.333, 0.667, 0.750], [0.667, 0.333, 0.250], [0.667, 0.333, 0.632], [0.667, 0.333, 0.868], [0.333, 0.667, 0.250], [0.333, 0.667, 0.589], [0.333, 0.667, 0.911], [0.667, 0.333, 0.089], [0.667, 0.333, 0.411], [0.667, 0.333, 0.750]]
}

18.
{
  "formula": "MnAl2TeC",
  "functional": "SCAN",
  "state": "PBEsol geometry",
  "space_group": "P4/mmm",
  "density_g_cm3": 3.07,
  "magmom_total_mub_per_atom": 1.05,
  "formation_energy_uncorrected_ev_per_fu": 10.77,
  "cell": [[5.278, 0.000, 0.000], [0.000, 5.278, 0.000], [0.000, 0.000, 4.822]],
  "species": ["Mn", "Al", "Al", "Te", "C"],
  "frac_coords": [[0.000, 0.000, 0.000], [0.000, 0.500, 0.500], [0.500, 0.000, 0.500], [0.000, 0.000, 0.500], [0.500, 0.500, 0.000]]
}

19.
{
  "formula": "Al2Mo3C",
  "functional": "SCAN",
  "state": "PBEsol geometry",
  "space_group": "P4_132",
  "density_g_cm3": 7.41,
  "magmom_total_mub_per_atom": 0.00,
  "delta_e_f_mev_per_atom": -182,
  "cell": [[6.819, 0.000, 0.000], [0.000, 6.819, 0.000], [0.000, 0.000, 6.819]],
  "species": ["Al", "Al", "Al", "Al", "Al", "Al", "Al", "Al", "Mo", "Mo", "Mo", "Mo", "Mo", "Mo", "Mo", "Mo", "Mo", "Mo", "Mo", "Mo", "C", "C", "C", "C"],
  "frac_coords": [[0.066, 0.066, 0.066], [0.184, 0.816, 0.316], [0.316, 0.184, 0.816], [0.434, 0.934, 0.566], [0.566, 0.434, 0.934], [0.684, 0.684, 0.684], [0.816, 0.316, 0.184], [0.934, 0.566, 0.434], [0.048, 0.875, 0.702], [0.125, 0.202, 0.452], [0.202, 0.452, 0.125], [0.298, 0.548, 0.625], [0.375, 0.798, 0.952], [0.452, 0.125, 0.202], [0.548, 0.625, 0.298], [0.625, 0.298, 0.548], [0.702, 0.048, 0.875], [0.798, 0.952, 0.375], [0.875, 0.702, 0.048], [0.952, 0.375, 0.798], [0.125, 0.625, 0.875], [0.375, 0.375, 0.375], [0.625, 0.875, 0.125], [0.875, 0.125, 0.625]]
}

20.
{
  "formula": "AlMoOs2C",
  "functional": "SCAN",
  "state": "PBEsol geometry",
  "space_group": "P4/mmm",
  "density_g_cm3": 8.59,
  "magmom_total_mub_per_atom": 0.09,
  "delta_e_f_mev_per_atom": 3007,
  "cell": [[4.599, 0.000, 0.000], [0.000, 4.599, 0.000], [0.000, 0.000, 4.709]],
  "species": ["Al", "Mo", "Os", "Os", "C"],
  "frac_coords": [[0.000, 0.000, 0.000], [0.000, 0.000, 0.500], [0.000, 0.500, 0.500], [0.500, 0.000, 0.500], [0.500, 0.500, 0.000]]
}